Arrangement i

Density functional theory data (GGA-PBE) for crystalline ScTlFeAg at its relaxed geometry.

Cell lengths 6.703, 6.703, 6.703 Å; angles 90.00, 90.00, 90.00 degrees
Space group F-43m (No. 216)
Asymmetric unit:
Sc 0.000 0.000 0.000
Tl 0.250 0.250 0.250
Fe 0.000 0.000 0.500
Ag 0.250 0.250 0.750

***

Arrangement ii

Density functional theory data (GGA-PBE) for crystalline ScTlFeAg at its relaxed geometry.

Cell lengths 6.669, 6.669, 6.669 Å; angles 90.00, 90.00, 90.00 degrees
Space group F-43m (No. 216)
Asymmetric unit:
Sc 0.000 0.000 0.000
Tl 0.000 0.000 0.500
Fe 0.250 0.250 0.750
Ag 0.250 0.250 0.250

***

Which of them is most stable? Easy: arrangement i.

***

Arrangement i

Density functional theory data (GGA-PBE) for crystalline TaFeSiAg at its relaxed geometry.

Cell lengths 6.155, 6.155, 6.155 Å; angles 90.00, 90.00, 90.00 degrees
Space group F-43m (No. 216)
Asymmetric unit:
Ta 0.000 0.000 0.000
Fe 0.250 0.250 0.750
Si 0.000 0.000 0.500
Ag 0.250 0.250 0.250

***

Arrangement ii

Density functional theory data (GGA-PBE) for crystalline TaFeSiAg at its relaxed geometry.

Cell lengths 6.215, 6.215, 6.215 Å; angles 90.00, 90.00, 90.00 degrees
Space group F-43m (No. 216)
Asymmetric unit:
Ta 0.000 0.000 0.000
Fe 0.000 0.000 0.500
Si 0.250 0.250 0.250
Ag 0.250 0.250 0.750

***

Which of them is most stable? Easy: arrangement i.

***

Arrangement i

Density functional theory data (GGA-PBE) for crystalline YFeSiAg at its relaxed geometry.

Cell lengths 6.619, 6.619, 6.619 Å; angles 90.00, 90.00, 90.00 degrees
Space group F-43m (No. 216)
Asymmetric unit:
Y 0.000 0.000 0.000
Fe 0.000 0.000 0.500
Si 0.250 0.250 0.250
Ag 0.250 0.250 0.750

***

Arrangement ii

Density functional theory data (GGA-PBE) for crystalline YFeSiAg at its relaxed geometry.

Cell lengths 6.523, 6.523, 6.523 Å; angles 90.00, 90.00, 90.00 degrees
Space group F-43m (No. 216)
Asymmetric unit:
Y 0.000 0.000 0.000
Fe 0.250 0.250 0.750
Si 0.000 0.000 0.500
Ag 0.250 0.250 0.250

***

Which of them is most stable? Easy: arrangement i.

***

Arrangement i

Density functional theory data (GGA-PBE) for crystalline ZnFeSiAg at its relaxed geometry.

Cell lengths 6.120, 6.120, 6.120 Å; angles 90.00, 90.00, 90.00 degrees
Space group F-43m (No. 216)
Asymmetric unit:
Zn 0.000 0.000 0.000
Fe 0.000 0.000 0.500
Si 0.250 0.250 0.250
Ag 0.250 0.250 0.750

***

Arrangement ii

Density functional theory data (GGA-PBE) for crystalline ZnFeSiAg at its relaxed geometry.

Cell lengths 6.066, 6.066, 6.066 Å; angles 90.00, 90.00, 90.00 degrees
Space group F-43m (No. 216)
Asymmetric unit:
Zn 0.000 0.000 0.000
Fe 0.250 0.250 0.750
Si 0.000 0.000 0.500
Ag 0.250 0.250 0.250

***

Which of them is most stable? Easy: arrangement ii.

***

Arrangement i

Density functional theory data (GGA-PBE) for crystalline TaFeAgSn at its relaxed geometry.

Cell lengths 6.520, 6.520, 6.520 Å; angles 90.00, 90.00, 90.00 degrees
Space group F-43m (No. 216)
Asymmetric unit:
Ta 0.000 0.000 0.000
Fe 0.000 0.000 0.500
Ag 0.250 0.250 0.750
Sn 0.250 0.250 0.250

***

Arrangement ii

Density functional theory data (GGA-PBE) for crystalline TaFeAgSn at its relaxed geometry.

Cell lengths 6.421, 6.421, 6.421 Å; angles 90.00, 90.00, 90.00 degrees
Space group F-43m (No. 216)
Asymmetric unit:
Ta 0.000 0.000 0.000
Fe 0.250 0.250 0.750
Ag 0.250 0.250 0.250
Sn 0.000 0.000 0.500

***

Which of them is most stable? Easy: arrangement ii.

***

Arrangement i

Density functional theory data (GGA-PBE) for crystalline YFeAgSn at its relaxed geometry.

Cell lengths 6.909, 6.909, 6.909 Å; angles 90.00, 90.00, 90.00 degrees
Space group F-43m (No. 216)
Asymmetric unit:
Y 0.000 0.000 0.000
Fe 0.000 0.000 0.500
Ag 0.250 0.250 0.750
Sn 0.250 0.250 0.250

***

Arrangement ii

Density functional theory data (GGA-PBE) for crystalline YFeAgSn at its relaxed geometry.

Cell lengths 6.739, 6.739, 6.739 Å; angles 90.00, 90.00, 90.00 degrees
Space group F-43m (No. 216)
Asymmetric unit:
Y 0.000 0.000 0.000
Fe 0.250 0.250 0.750
Ag 0.250 0.250 0.250
Sn 0.000 0.000 0.500

***

Which of them is most stable? Easy: arrangement ii.